# Pu2PaGe2Pt2

Crystalline Pu2PaGe2Pt2 at its relaxed geometry (PBE, the Alexandria database).

Output
- space group = R-3m
- formation enthalpy at 0 K (eV per atom) = -0.6537

```
Pu2PaGe2Pt2
1.0
-3.138 -3.089 0.475
1.130 -4.267 0.357
-0.208 -1.623 8.723
Ge Pt Pa Pu
2 2 1 2
Direct
0.266 0.266 0.203
0.734 0.734 0.797
0.588 0.588 0.237
0.412 0.412 0.763
0.000 0.000 0.000
0.862 0.862 0.413
0.138 0.138 0.587
```